# BaCa2Pt2 PBE optimized geometry
# - DOS(E_F): 2.5 states/eV/f.u.
# - Calculated total energy: -21.784 eV for the cell shown
# - Relative energy among the computed polymorphs: 12.3 meV per atom
# - Symmetry: I4/mmm, No. 139
# - ΔH_f (0 K): -0.7553 eV per atom
data_BaCa2Pt2
_chemical_formula_sum 'Ba1 Ca2 Pt2'
_cell_length_a 7.159
_cell_length_b 7.159
_cell_length_c 7.159
_cell_angle_alpha 141.35
_cell_angle_beta 141.35
_cell_angle_gamma 55.80
_space_group_name_H-M_alt 'P 1'
_space_group_IT_number 1
loop_
_space_group_symop_operation_xyz
'x,y,z'
loop_
_atom_site_label
_atom_site_type_symbol
_atom_site_fract_x
_atom_site_fract_y
_atom_site_fract_z
_atom_site_occupancy
Ba1 Ba 0.000 0.000 0.000 1
Ca1 Ca 0.250 0.750 0.500 1
Ca2 Ca 0.750 0.250 0.500 1
Pt1 Pt 0.393 0.393 0.000 1
Pt2 Pt 0.607 0.607 0.000 1